No. 1
This record from the Alexandria database describes an optimized crystal structure of NbZn2TeS. The functional is PBE.

The formation energy (no corrections) is 2.138 eV/f.u. The total energy is -17.75 eV/cell.

The structure belongs to space group P4/mmm (No. 123); the cell edges are 5.328, 5.328 and 4.560 Å and the angles 90.00°, 90.00° and 90.00°. The inequivalent atoms are Nb at (0.000, 0.000, 0.000), Zn at (0.000, 0.500, 0.000), Te at (0.500, 0.500, 0.500) and S at (0.000, 0.000, 0.500).


No. 2
This record from the Alexandria database describes an optimized crystal structure of KLa2TbSe4. The functional is PBE.

The formation energy (no corrections) is -14.421 eV/f.u. The total energy is -43.94 eV/cell.

The structure belongs to space group P2/m (No. 10); the cell edges are 7.431, 4.281 and 7.554 Å and the angles 90.00°, 108.98° and 90.00°. The inequivalent atoms are K at (0.000, 0.000, 0.000), La at (0.500, 0.000, 0.500), La at (0.500, 0.500, 0.000), Tb at (0.000, 0.500, 0.500), Se at (0.241, 0.000, 0.736) and Se at (0.254, 0.500, 0.266).


No. 3
This record from the Alexandria database describes an optimized crystal structure of KCdAs. The functional is PBE.

The total energy is -13.11 eV/cell.

The structure belongs to space group I4mm (No. 107); the cell edges are 3.288, 3.288 and 14.864 Å and the angles 90.00°, 90.00° and 90.00°. The inequivalent atoms are K at (0.000, 0.000, 0.000), Cd at (0.000, 0.000, 0.304) and As at (0.000, 0.000, 0.668).


No. 4
This record from the Alexandria database describes an optimized crystal structure of Rb3HoSe3. The functional is PBE.

The formation energy (no corrections) is -9.851 eV/f.u. The total energy is -111.14 eV/cell.

The structure belongs to space group C2/m (No. 12); the cell edges are 9.499, 14.683 and 8.468 Å and the angles 90.00°, 100.36° and 90.00°. The inequivalent atoms are Rb at (0.000, 0.181, 0.000), Rb at (0.000, 0.249, 0.500), Rb at (0.116, 0.500, 0.864), Ho at (0.178, 0.000, 0.642), Se at (0.100, 0.000, 0.311) and Se at (0.189, 0.351, 0.225).


No. 5
This record from the Alexandria database describes an optimized crystal structure of Zr3CdH. The functional is PBE.

The energy above the most stable polymorph in this dataset is 89 meV per atom. The total energy is -245.36 eV/cell.

The structure belongs to space group C2/c (No. 15); the cell edges are 12.222, 11.948 and 5.752 Å and the angles 90.00°, 117.43° and 90.00°. The inequivalent atoms are Zr at (0.115, 0.060, 0.042), Zr at (0.127, 0.455, 0.517), Zr at (0.240, 0.181, 0.749), Cd at (0.000, 0.229, 0.250), Cd at (0.000, 0.298, 0.750) and H at (0.234, 0.162, 0.376).


No. 6
This record from the Alexandria database describes an optimized crystal structure of Nd2Ga2Rh. The functional is PBE.

The total energy is -105.82 eV/cell.

The structure belongs to space group C2/m (No. 12); the cell edges are 11.017, 4.398 and 10.751 Å and the angles 90.00°, 118.18° and 90.00°. The inequivalent atoms are Nd at (0.003, 0.000, 0.328), Nd at (0.190, 0.000, 0.116), Ga at (0.012, 0.500, 0.883), Ga at (0.150, 0.500, 0.559) and Rh at (0.222, 0.500, 0.362).


No. 7
This record from the Alexandria database describes an optimized crystal structure of NaThZnHg. The functional is PBE.

The total energy is -42.46 eV/cell.

The structure belongs to space group F-43m (No. 216); the cell edges are 7.335, 7.335 and 7.335 Å and the angles 90.00°, 90.00° and 90.00°. The inequivalent atoms are Na at (0.000, 0.000, 0.000), Th at (0.000, 0.000, 0.500), Zn at (0.250, 0.250, 0.750) and Hg at (0.250, 0.250, 0.250).


No. 8
This record from the Alexandria database describes an optimized crystal structure of Tb3Ga2Ni3. The functional is PBE.

The energy above the most stable polymorph in this dataset is 2 meV per atom. The total energy is -166.84 eV/cell.

The structure belongs to space group Cmcm (No. 63); the cell edges are 4.144, 10.700 and 13.662 Å and the angles 90.00°, 90.00° and 90.00°. The inequivalent atoms are Tb at (0.000, 0.079, 0.108), Tb at (0.000, 0.361, 0.250), Ga at (0.000, 0.215, 0.589), Ni at (0.000, 0.334, 0.750) and Ni at (0.000, 0.394, 0.040).


No. 9
This record from the Alexandria database describes an optimized crystal structure of SbIO6. The functional is PBE.

The energy above the most stable polymorph in this dataset is 0 meV per atom. The formation energy (no corrections) is -4.525 eV/f.u. The total energy is -119.84 eV/cell.

The structure belongs to space group R-3 (No. 148, hexagonal axes); the cell edges are 5.0584, 5.0584 and 13.2617 Å and the angles 90.00°, 90.00° and 120.00°. The inequivalent atoms are Sb at (0.0000, 0.0000, 0.0000), I at (0.0000, 0.0000, 0.5000) and O at (0.0118, 0.6420, 0.2481).


No. 10
This record from the Alexandria database describes an optimized crystal structure of MgTiAu4. The functional is PBE.

The energy above the most stable polymorph in this dataset is 0 meV per atom. The total energy is -25.16 eV/cell.

The structure belongs to space group P4/mmm (No. 123); the cell edges are 3.443, 3.443 and 8.910 Å and the angles 90.00°, 90.00° and 90.00°. The inequivalent atoms are Mg at (0.000, 0.000, 0.000), Ti at (0.500, 0.500, 0.500), Au at (0.000, 0.000, 0.342) and Au at (0.500, 0.500, 0.163).


No. 11
This record from the Alexandria database describes an optimized crystal structure of AlZn5Ag6. The functional is PBE.

The total energy is -55.32 eV/cell.

The structure belongs to space group Cmmm (No. 65); the cell edges are 4.387, 13.206 and 6.708 Å and the angles 90.00°, 90.00° and 90.00°. The inequivalent atoms are Al at (0.000, 0.000, 0.000), Zn at (0.000, 0.000, 0.500), Zn at (0.000, 0.333, 0.000), Zn at (0.000, 0.333, 0.500), Ag at (0.000, 0.166, 0.250) and Ag at (0.000, 0.500, 0.251).


No. 12
This record from the Alexandria database describes an optimized crystal structure of Li2AlCl2. The functional is PBE.

The formation energy (no corrections) is -3.960 eV/f.u. The total energy is -30.45 eV/cell.

The structure belongs to space group I4/mmm (No. 139); the cell edges are 4.662, 4.662 and 11.642 Å and the angles 90.00°, 90.00° and 90.00°. The inequivalent atoms are Li at (0.000, 0.000, 0.188), Al at (0.000, 0.000, 0.500) and Cl at (0.000, 0.500, 0.250).


No. 13
This record from the Alexandria database describes an optimized crystal structure of Pm3ScTl. The functional is PBE.

The energy above the most stable polymorph in this dataset is 212 meV per atom. The total energy is -179.62 eV/cell.

The structure belongs to space group C2/c (No. 15); the cell edges are 12.650, 12.345 and 8.238 Å and the angles 90.00°, 90.03° and 90.00°. The inequivalent atoms are Pm at (0.107, 0.054, 0.379), Pm at (0.108, 0.446, 0.621), Pm at (0.250, 0.183, 0.679), Sc at (0.000, 0.196, 0.750), Sc at (0.000, 0.304, 0.250) and Tl at (0.249, 0.123, 0.065).


No. 14
This record from the Alexandria database describes an optimized crystal structure of Y6Bi3SbAs2. The functional is PBE.

The formation energy (no corrections) is -13.661 eV/f.u. The total energy is -155.02 eV/cell.

The structure belongs to space group C2/m (No. 12); the cell edges are 18.980, 4.322 and 8.737 Å and the angles 90.00°, 103.82° and 90.00°. The inequivalent atoms are Y at (0.008, 0.000, 0.251), Y at (0.168, 0.500, 0.101), Y at (0.172, 0.500, 0.571), Bi at (0.000, 0.500, 0.500), Bi at (0.164, 0.000, 0.832), Sb at (0.000, 0.500, 0.000) and As at (0.168, 0.000, 0.335).


No. 15
This record from the Alexandria database describes an optimized crystal structure of K2PuThO6. The functional is PBE.

The formation energy (no corrections) is -27.247 eV/f.u. The total energy is -323.77 eV/cell.

The structure belongs to space group Fm-3m (No. 225); the cell edges are 8.771, 8.771 and 8.771 Å and the angles 90.00°, 90.00° and 90.00°. The inequivalent atoms are K at (0.250, 0.250, 0.250), Pu at (0.000, 0.000, 0.000), Th at (0.000, 0.000, 0.500) and O at (0.000, 0.000, 0.237).


No. 16
This record from the Alexandria database describes an optimized crystal structure of NaCaV. The functional is PBE.

The energy above the most stable polymorph in this dataset is 954 meV per atom. The total energy is -17.51 eV/cell.

The structure belongs to space group P4/nmm (No. 129, origin choice 2); the cell edges are 4.200, 4.200 and 11.313 Å and the angles 90.00°, 90.00° and 90.00°. The inequivalent atoms are Na at (0.250, 0.250, 0.227), Ca at (0.250, 0.750, 0.500) and V at (0.250, 0.250, 0.963).


No. 17
This record from the Alexandria database describes an optimized crystal structure of NaVTc2Br. The functional is PBE.

The formation energy (no corrections) is 12.256 eV/f.u. The total energy is -20.59 eV/cell.

The structure belongs to space group P4/mmm (No. 123); the cell edges are 4.810, 4.810 and 4.754 Å and the angles 90.00°, 90.00° and 90.00°. The inequivalent atoms are Na at (0.000, 0.000, 0.000), V at (0.500, 0.500, 0.500), Tc at (0.000, 0.500, 0.000) and Br at (0.000, 0.000, 0.500).


No. 18
This record from the Alexandria database describes an optimized crystal structure of KNiI. The functional is PBE.

The energy above the most stable polymorph in this dataset is 8 meV per atom. The formation energy (no corrections) is -0.937 eV/f.u. The total energy is -37.46 eV/cell.

The structure belongs to space group Imma (No. 74); the cell edges are 5.222, 10.057 and 7.435 Å and the angles 90.00°, 90.00° and 90.00°. The inequivalent atoms are K at (0.000, 0.000, 0.000), Ni at (0.250, 0.250, 0.250) and I at (0.000, 0.250, 0.526).


No. 19
This record from the Alexandria database describes an optimized crystal structure of HfTe2PbO8. The functional is PBE.

The formation energy (no corrections) is -18.529 eV/f.u. The total energy is -156.28 eV/cell.

The structure belongs to space group C2/m (No. 12); the cell edges are 7.121, 6.977 and 6.974 Å and the angles 90.00°, 90.53° and 90.00°. The inequivalent atoms are Hf at (0.000, 0.000, 0.000), Te at (0.024, 0.500, 0.245), Pb at (0.000, 0.000, 0.500), O at (0.033, 0.191, 0.234), O at (0.196, 0.500, 0.461) and O at (0.207, 0.500, 0.043).


No. 20
This record from the Alexandria database describes an optimized crystal structure of LaZr2Cl. The functional is PBE.

The energy above the most stable polymorph in this dataset is 56 meV per atom. The formation energy (no corrections) is -1.320 eV/f.u. The total energy is -50.38 eV/cell.

The structure belongs to space group Cm (No. 8); the cell edges are 10.836, 3.230 and 6.185 Å and the angles 90.00°, 114.65° and 90.00°. The inequivalent atoms are La at (0.000, 0.000, 0.000), Zr at (0.146, 0.000, 0.597), Zr at (0.376, 0.000, 0.436) and Cl at (0.240, 0.500, 0.018).


No. 21
This record from the Alexandria database describes an optimized crystal structure of Sc2TcAs. The functional is PBE.

The total energy is -85.01 eV/cell.

The structure belongs to space group R3m (No. 160, hexagonal axes); the cell edges are 3.3151, 3.3151 and 25.3071 Å and the angles 90.00°, 90.00° and 120.00°. The inequivalent atoms are Sc at (0.0000, 0.0000, 0.0000), Sc at (0.0000, 0.0000, 0.2251), Tc at (0.0000, 0.0000, 0.7507) and As at (0.0000, 0.0000, 0.4784).


No. 22
This record from the Alexandria database describes an optimized crystal structure of Tl2SbW. The functional is PBE.

The energy above the most stable polymorph in this dataset is 479 meV per atom. The formation energy (no corrections) is 3.879 eV/f.u. The total energy is -17.93 eV/cell.

The structure belongs to space group Pmmm (No. 47); the cell edges are 3.255, 5.061 and 5.719 Å and the angles 90.00°, 90.00° and 90.00°. The inequivalent atoms are Tl at (0.000, 0.000, 0.000), Tl at (0.500, 0.500, 0.000), Sb at (0.000, 0.500, 0.500) and W at (0.500, 0.000, 0.500).


No. 23
This record from the Alexandria database describes an optimized crystal structure of RbCa3Pa2N6. The functional is PBE.

The formation energy (no corrections) is -12.550 eV/f.u. The total energy is -176.93 eV/cell.

The structure belongs to space group C2/m (No. 12); the cell edges are 16.887, 3.586 and 7.052 Å and the angles 90.00°, 99.85° and 90.00°. The inequivalent atoms are Rb at (0.000, 0.000, 0.000), Ca at (0.000, 0.000, 0.500), Ca at (0.180, 0.500, 0.846), Pa at (0.171, 0.500, 0.339), N at (0.050, 0.500, 0.331), N at (0.179, 0.000, 0.122) and N at (0.192, 0.000, 0.588).